No. 1
Below is an optimized crystal structure of TbCeSm3, with properties calculated at the PBE level.

Lattice parameters (Å, degrees): 7.129 11.839 11.839 48.09 100.38 79.62
Each line ends with the local moment (μB).
Positions (direct):
Tb: 0.290 0.925 0.075  0.00
Tb: 0.710 0.075 0.925  0.00
Tb: 0.204 0.334 0.666  -0.01
Tb: 0.796 0.666 0.334  -0.01
Ce: 0.683 0.612 0.862  0.47
Ce: 0.683 0.138 0.388  0.47
Ce: 0.317 0.388 0.138  0.47
Ce: 0.317 0.862 0.612  0.47
Sm: 0.498 0.677 0.040  0.02
Sm: 0.999 0.930 0.294  0.01
Sm: 0.502 0.323 0.960  0.02
Sm: 0.001 0.070 0.706  0.01
Sm: 0.001 0.294 0.930  0.01
Sm: 0.503 0.040 0.677  0.02
Sm: 0.999 0.706 0.070  0.01
Sm: 0.497 0.960 0.323  0.02
Sm: 0.500 0.579 0.579  0.00
Sm: 0.000 0.323 0.323  0.01
Sm: 0.500 0.421 0.421  0.00
Sm: 0.000 0.677 0.677  0.01

## Properties
Its space-group type is C2/m (12). The energy of formation from the pure elements comes out at 0.213 eV/atom.

No. 2
Below is an optimized crystal structure of Tb2Y4Cd, with properties calculated at the PBE level.

Lattice parameters (Å, degrees): 3.521 8.481 8.470 116.77 102.00 90.00
Positions (direct):
Tb: 0.782 0.860 0.563
Tb: 0.218 0.140 0.437
Y: 0.920 0.298 0.839
Y: 0.080 0.702 0.161
Y: 0.631 0.392 0.262
Y: 0.369 0.608 0.738
Cd: 0.000 0.000 0.000

## Properties
Its space-group type is C2/m (12). The energy of formation from the pure elements comes out at 0.040 eV/atom.